VASP calculation (GGA-PBE) on LaPm3Y6 after structural relaxation.

Lattice parameters (Å, degrees): 6.969 6.969 6.969 91.79 91.79 91.79
Positions (direct):
La: 0.000 0.000 0.000
Pm: 0.251 0.251 0.251
Pm: 0.500 0.500 0.500
Pm: 0.749 0.749 0.749
Y: 0.001 0.329 0.672
Y: 0.176 0.826 0.501
Y: 0.329 0.672 0.001
Y: 0.501 0.176 0.826
Y: 0.672 0.001 0.329
Y: 0.826 0.501 0.176

* spin magnetization: 0.0004 μB/atom
* space-group type: R3
* crystal system: trigonal
* formation enthalpy at 0 K: 0.260 eV/atom
* energy above the most stable polymorph in this dataset: 0.117 eV per atom